{"formula": "ZrMn2Tc", "functional": "PBE", "state": "optimized geometry", "delta_e_f_ev_per_atom": 0.0264, "e_tot_ev_per_atom": -9.287, "sg": "No. 47", "dos_ef_per_ev_cell": 3.9, "de_polymorph_ev_per_atom": 0.0000, "cell": [[-2.8976, 0.0896, -1.5692], [-2.0499, -0.4670, 3.7586], [-0.1221, 4.3521, 0.4741]], "species": ["Mn", "Mn", "Tc", "Zr"], "fractional_positions": [[0.0000, 0.0000, 0.0000], [0.5000, 0.5000, 0.0000], [0.5000, 0.0000, 0.5000], [0.0000, 0.5000, 0.5000]]}